## GeBi2PbSe (GGA-PBEsol)

Data for GeBi2PbSe after structural relaxation.

Properties
**M_tot**: 0.00 μB per atom
**E_tot**: -16.2 eV per formula unit
**Energy relative to the elements, uncorrected**: 1.04 eV per atom
**D(E_F)**: 1.372 states/eV/atom
**Space-group type**: P4/mmm

Cell lengths 5.885, 5.885, 5.147 Å; angles 90.00, 90.00, 90.00 degrees
Element x y z (fractional)
Ge (0.000, 0.000, 0.000)
Bi (0.000, 0.500, 0.500)
Bi (0.500, 0.000, 0.500)
Pb (0.000, 0.000, 0.500)
Se (0.500, 0.500, 0.000)